Entry 1:
VASP calculation (PBE) on a relaxed LaGdZn2 crystal.

Results
Energy relative to the lowest polymorph listed for this composition = 2 meV/atom

Unit cell a=5.216 b=5.216 c=5.216 alpha=60.00 beta=60.00 gamma=60.00
Fractional positions:
La  0.500  0.500  0.500
Zn  0.750  0.750  0.750
Zn  0.250  0.250  0.250
Gd  0.000  0.000  0.000



Entry 2:
VASP calculation (PBE) on a relaxed La2GdZn crystal.

Results
Energy relative to the lowest polymorph listed for this composition = 143 meV/atom

Unit cell a=5.536 b=5.536 c=5.536 alpha=60.00 beta=60.00 gamma=60.00
Fractional positions:
Zn  0.500  0.500  0.500
Gd  0.000  0.000  0.000
La  0.750  0.750  0.750
La  0.250  0.250  0.250



Entry 3:
VASP calculation (PBE) on a relaxed La2GdZn crystal.

Results
Energy relative to the lowest polymorph listed for this composition = 0 meV/atom

Unit cell a=3.763 b=3.763 c=8.746 alpha=90.00 beta=90.00 gamma=90.00
Fractional positions:
Zn  0.500  0.500  0.000
La  0.000  0.000  0.789
La  0.000  0.000  0.211
Gd  0.500  0.500  0.500



Which of these has the highest energy relative to the lowest polymorph listed for this composition?
number 2